Record 1
First-principles (PBE) data for a relaxed AlHPb crystal, as listed in the Alexandria database.

a b c (Å): 7.235 5.033 7.067
angles (deg): 90.00 90.00 90.00
Atoms (fractional coordinates):
1 Al 0.000 0.000 0.000
2 Al 0.000 0.500 0.000
3 Al 0.500 0.000 0.500
4 Al 0.500 0.500 0.500
5 H 0.079 0.250 0.453
6 H 0.421 0.750 0.953
7 H 0.579 0.250 0.047
8 H 0.921 0.750 0.547
9 Pb 0.136 0.750 0.372
10 Pb 0.364 0.250 0.872
11 Pb 0.636 0.750 0.128
12 Pb 0.864 0.250 0.628

Energy above the most stable polymorph in this dataset   29.8 kJ/mol of atoms
Volume   21.4 Å³/atom

Record 2
First-principles (PBE) data for a relaxed AlHPb crystal, as listed in the Alexandria database.

a b c (Å): 6.318 6.318 4.831
angles (deg): 111.26 111.26 43.02
Atoms (fractional coordinates):
1 Al 0.192 0.192 0.485
2 Al 0.808 0.808 0.515
3 H 0.045 0.045 0.281
4 H 0.955 0.955 0.719
5 Pb 0.367 0.367 0.145
6 Pb 0.633 0.633 0.855

Energy above the most stable polymorph in this dataset   0.0 kJ/mol of atoms
Volume   20.2 Å³/atom

Record 3
First-principles (PBE) data for a relaxed AlHPb crystal, as listed in the Alexandria database.

a b c (Å): 7.221 4.829 6.900
angles (deg): 90.00 90.00 90.00
Atoms (fractional coordinates):
1 Al 0.089 0.250 0.029
2 Al 0.411 0.750 0.529
3 Al 0.589 0.250 0.471
4 Al 0.911 0.750 0.971
5 H 0.088 0.250 0.275
6 H 0.412 0.750 0.775
7 H 0.588 0.250 0.225
8 H 0.912 0.750 0.725
9 Pb 0.169 0.250 0.566
10 Pb 0.331 0.750 0.066
11 Pb 0.669 0.250 0.934
12 Pb 0.831 0.750 0.434

Energy above the most stable polymorph in this dataset   4.5 kJ/mol of atoms
Volume   20.0 Å³/atom

Record 4
First-principles (PBE) data for a relaxed AlH2Pd7Pb2 crystal, as listed in the Alexandria database.

a b c (Å): 11.669 11.669 11.669
angles (deg): 160.23 160.23 28.09
Atoms (fractional coordinates):
1 Al 0.000 0.000 0.000
2 H 0.413 0.413 0.000
3 H 0.587 0.587 0.000
4 Pd 0.085 0.585 0.500
5 Pd 0.325 0.325 0.000
6 Pd 0.415 0.915 0.500
7 Pd 0.500 0.500 0.000
8 Pd 0.585 0.085 0.500
9 Pd 0.675 0.675 0.000
10 Pd 0.915 0.415 0.500
11 Pb 0.197 0.197 0.000
12 Pb 0.803 0.803 0.000

Volume   15.1 Å³/atom

Record 5
First-principles (PBE) data for a relaxed AlH2PdPb crystal, as listed in the Alexandria database.

a b c (Å): 3.774 3.774 5.997
angles (deg): 90.00 90.00 90.00
Atoms (fractional coordinates):
1 Al 0.000 0.000 0.000
2 H 0.000 0.500 0.500
3 H 0.500 0.000 0.500
4 Pd 0.500 0.500 0.000
5 Pb 0.000 0.000 0.500

Volume   17.1 Å³/atom

Record 6
First-principles (PBE) data for a relaxed Sc2AlHPb crystal, as listed in the Alexandria database.

a b c (Å): 4.471 4.471 4.382
angles (deg): 90.00 90.00 90.00
Atoms (fractional coordinates):
1 Sc 0.000 0.500 0.000
2 Sc 0.500 0.000 0.000
3 Al 0.000 0.000 0.500
4 H 0.000 0.000 0.000
5 Pb 0.500 0.500 0.500

Volume   17.5 Å³/atom

Record 7
First-principles (PBE) data for a relaxed AlSi2HPb crystal, as listed in the Alexandria database.

a b c (Å): 4.337 4.337 4.440
angles (deg): 90.00 90.00 90.00
Atoms (fractional coordinates):
1 Al 0.000 0.000 0.000
2 Si 0.000 0.500 0.500
3 Si 0.500 0.000 0.500
4 H 0.000 0.000 0.500
5 Pb 0.500 0.500 0.000

Volume   16.7 Å³/atom

Record 8
First-principles (PBE) data for a relaxed AlSn2HPb crystal, as listed in the Alexandria database.

a b c (Å): 5.765 5.765 3.400
angles (deg): 90.00 90.00 90.00
Atoms (fractional coordinates):
1 Al 0.000 0.000 0.000
2 Sn 0.000 0.500 0.000
3 Sn 0.500 0.000 0.000
4 H 0.000 0.000 0.500
5 Pb 0.500 0.500 0.500

Volume   22.6 Å³/atom

| no. | total moment (μB/f.u.) | final energy (eV per atom) | theoretical density (g/cm3) |
| --- | --- | --- | --- |
| 1 | 0.00 | -3.074 | 6.07 |
| 2 | 0.00 | -3.383 | 6.45 |
| 3 | 0.00 | -3.336 | 6.49 |
| 4 | 0.00 | -4.859 | 10.86 |
| 5 | 0.00 | -3.448 | 6.66 |
| 6 | 0.07 | -4.952 | 6.16 |
| 7 | 0.00 | -3.717 | 5.79 |
| 8 | 0.00 | -3.619 | 6.94 |